EuNi10P6 GGA-PBEsol relaxed; V = 430.4 Å³ per cell; ΔE_f = -704 meV per atom
1.0
3.1820 -7.8785 0.0000
3.1820 7.8785 0.0000
0.0000 0.0000 8.5850
Eu Ni P
2 20 12
Direct
0.0000 0.0000 0.0000
0.5000 0.5000 0.5000
0.0271 0.3731 0.4694
0.0431 0.9569 0.6192
0.0850 0.4150 0.7500
0.1269 0.4729 0.0306
0.2054 0.7946 0.7907
0.2946 0.7054 0.2907
0.3731 0.0271 0.5306
0.4150 0.0850 0.2500
0.4569 0.5431 0.1192
0.4729 0.1269 0.9694
0.5271 0.8731 0.0306
0.5431 0.4569 0.8808
0.5850 0.9150 0.7500
0.6269 0.9729 0.4694
0.7054 0.2946 0.7093
0.7946 0.2054 0.2093
0.8731 0.5271 0.9694
0.9150 0.5850 0.2500
0.9569 0.0431 0.3808
0.9729 0.6269 0.5306
0.0919 0.9081 0.3693
0.1471 0.3529 0.2500
0.2081 0.7919 0.0718
0.2919 0.7081 0.5718
0.3529 0.1471 0.7500
0.4081 0.5919 0.8693
0.5919 0.4081 0.1307
0.6471 0.8529 0.2500
0.7081 0.2919 0.4282
0.7919 0.2081 0.9282
0.8529 0.6471 0.7500
0.9081 0.0919 0.6307

***

EuNi6S8 GGA-PBEsol relaxed; V = 229.0 Å³ per cell; ΔE_f (raw) = -0.5755 eV per atom
1.0
4.2397 2.4478 3.6777
-4.2397 2.4478 3.6777
0.0000 -4.8955 3.6777
Eu Ni S
1 6 8
Direct
0.0000 0.0000 0.0000
0.0554 0.2731 0.4526
0.2731 0.4526 0.0554
0.4526 0.0554 0.2731
0.5474 0.9446 0.7269
0.7269 0.5474 0.9446
0.9446 0.7269 0.5474
0.0475 0.4484 0.7817
0.2183 0.9525 0.5516
0.3840 0.3840 0.3840
0.4484 0.7817 0.0475
0.5516 0.2183 0.9525
0.6160 0.6160 0.6160
0.7817 0.0475 0.4484
0.9525 0.5516 0.2183

***

Eu3Si2Ni6 GGA-PBEsol relaxed; V = 335.1 Å³ per cell; ΔE_f (raw) = -0.4683 eV per atom
1.0
-4.3758 4.3758 4.3758
4.3758 -4.3758 4.3758
4.3758 4.3758 -4.3758
Eu Si Ni
6 4 12
Direct
0.0000 0.2832 0.2832
0.0000 0.7168 0.7168
0.2832 0.0000 0.2832
0.2832 0.2832 0.0000
0.7168 0.0000 0.7168
0.7168 0.7168 0.0000
0.0000 0.0000 0.5000
0.0000 0.5000 0.0000
0.5000 0.0000 0.0000
0.5000 0.5000 0.5000
0.0000 0.3309 0.6691
0.0000 0.6691 0.3309
0.3309 0.0000 0.6691
0.3309 0.3309 0.6618
0.3309 0.6618 0.3309
0.3309 0.6691 0.0000
0.3382 0.6691 0.6691
0.6618 0.3309 0.3309
0.6691 0.0000 0.3309
0.6691 0.3309 0.0000
0.6691 0.3382 0.6691
0.6691 0.6691 0.3382

***

EuSi3Ni GGA-PBEsol relaxed; V = 79.5 Å³ per cell; ΔE_f (raw) = -0.6862 eV per atom
1.0
-2.0479 2.0479 4.7411
2.0479 -2.0479 4.7411
2.0479 2.0479 -4.7411
Eu Si Ni
1 3 1
Direct
0.0000 0.0000 0.0000
0.2559 0.7559 0.5000
0.4138 0.4138 0.0000
0.7559 0.2559 0.5000
0.6513 0.6513 0.0000

***

EuSi2Ni GGA-PBEsol relaxed; V = 133.6 Å³ per cell; ΔE_f (raw) = -0.7634 eV per atom
1.0
2.0460 -8.1683 0.0000
2.0460 8.1683 0.0000
0.0000 0.0000 3.9960
Eu Si Ni
2 4 2
Direct
0.1071 0.8929 0.7500
0.8929 0.1071 0.2500
0.2497 0.7503 0.2500
0.4586 0.5414 0.7500
0.5414 0.4586 0.2500
0.7503 0.2497 0.7500
0.3195 0.6805 0.7500
0.6805 0.3195 0.2500

***

Eu2Pb2O7 GGA-PBEsol relaxed; V = 313.1 Å³ per cell; ΔE_f (raw) = -1.8389 eV per atom
1.0
0.0000 5.3894 5.3894
5.3894 0.0000 5.3894
5.3894 5.3894 0.0000
Eu Pb O
4 4 14
Direct
0.0000 0.0000 0.0000
0.0000 0.0000 0.5000
0.0000 0.5000 0.0000
0.5000 0.0000 0.0000
0.0000 0.5000 0.5000
0.5000 0.0000 0.5000
0.5000 0.5000 0.0000
0.5000 0.5000 0.5000
0.1250 0.1250 0.1250
0.1541 0.1541 0.5959
0.1541 0.5959 0.1541
0.1541 0.5959 0.5959
0.4041 0.4041 0.8459
0.4041 0.8459 0.4041
0.4041 0.8459 0.8459
0.5959 0.1541 0.1541
0.5959 0.1541 0.5959
0.5959 0.5959 0.1541
0.8459 0.4041 0.4041
0.8459 0.4041 0.8459
0.8459 0.8459 0.4041
0.8750 0.8750 0.8750

***

Eu2Pt2O7 GGA-PBEsol relaxed; V = 271.8 Å³ per cell; ΔE_f (raw) = -1.7394 eV per atom
1.0
0.0000 5.1410 5.1410
5.1410 0.0000 5.1410
5.1410 5.1410 0.0000
Eu Pt O
4 4 14
Direct
0.0000 0.0000 0.0000
0.0000 0.0000 0.5000
0.0000 0.5000 0.0000
0.5000 0.0000 0.0000
0.0000 0.5000 0.5000
0.5000 0.0000 0.5000
0.5000 0.5000 0.0000
0.5000 0.5000 0.5000
0.1250 0.1250 0.1250
0.1655 0.1655 0.5845
0.1655 0.5845 0.1655
0.1655 0.5845 0.5845
0.4155 0.4155 0.8345
0.4155 0.8345 0.4155
0.4155 0.8345 0.8345
0.5845 0.1655 0.1655
0.5845 0.1655 0.5845
0.5845 0.5845 0.1655
0.8345 0.4155 0.4155
0.8345 0.4155 0.8345
0.8345 0.8345 0.4155
0.8750 0.8750 0.8750

***

Eu2ZnPtO6 GGA-PBEsol relaxed; V = 238.7 Å³ per cell; ΔE_f (raw) = -1.9315 eV per atom
1.0
5.4351 0.0000 0.0000
0.0000 5.7021 0.0000
-5.4291 0.0000 7.7007
Eu Zn Pt O
4 2 2 12
Direct
0.2339 0.0654 0.2509
0.2339 0.4346 0.7509
0.7661 0.5654 0.2491
0.7661 0.9346 0.7491
0.5000 0.0000 0.0000
0.5000 0.5000 0.5000
0.0000 0.0000 0.5000
0.0000 0.5000 0.0000
0.1333 0.2045 0.9466
0.1333 0.2955 0.4466
0.2523 0.6926 0.9502
0.2523 0.8074 0.4502
0.3513 0.0340 0.7476
0.3513 0.4660 0.2476
0.6487 0.5340 0.7524
0.6487 0.9660 0.2524
0.7477 0.1926 0.5498
0.7477 0.3074 0.0498
0.8667 0.7045 0.5534
0.8667 0.7955 0.0534

***

EuRhO3 GGA-PBEsol relaxed; V = 233.2 Å³ per cell; ΔE_f (raw) = -1.9056 eV per atom
1.0
5.7226 0.0000 0.0000
0.0000 7.6690 0.0000
0.0000 0.0000 5.3134
Eu Rh O
4 4 12
Direct
0.0750 0.2500 0.0246
0.4250 0.7500 0.5246
0.5750 0.2500 0.4754
0.9250 0.7500 0.9754
0.0000 0.0000 0.5000
0.0000 0.5000 0.5000
0.5000 0.0000 0.0000
0.5000 0.5000 0.0000
0.0323 0.7500 0.3918
0.1964 0.5519 0.8135
0.1964 0.9481 0.8135
0.3036 0.0519 0.3135
0.3036 0.4481 0.3135
0.4677 0.2500 0.8918
0.5323 0.7500 0.1082
0.6964 0.5519 0.6865
0.6964 0.9481 0.6865
0.8036 0.0519 0.1865
0.8036 0.4481 0.1865
0.9677 0.2500 0.6082

***

Eu2Ru2O7 GGA-PBEsol relaxed; V = 267.2 Å³ per cell; ΔE_f (raw) = -1.9545 eV per atom
1.0
0.0000 5.1119 5.1119
5.1119 0.0000 5.1119
5.1119 5.1119 0.0000
Eu Ru O
4 4 14
Direct
0.0000 0.0000 0.0000
0.0000 0.0000 0.5000
0.0000 0.5000 0.0000
0.5000 0.0000 0.0000
0.0000 0.5000 0.5000
0.5000 0.0000 0.5000
0.5000 0.5000 0.0000
0.5000 0.5000 0.5000
0.1250 0.1250 0.1250
0.1753 0.1753 0.5747
0.1753 0.5747 0.1753
0.1753 0.5747 0.5747
0.4253 0.4253 0.8247
0.4253 0.8247 0.4253
0.4253 0.8247 0.8247
0.5747 0.1753 0.1753
0.5747 0.1753 0.5747
0.5747 0.5747 0.1753
0.8247 0.4253 0.4253
0.8247 0.4253 0.8247
0.8247 0.8247 0.4253
0.8750 0.8750 0.8750

***

no.,electronic total energy (eV for the cell shown)
1,-237.70
2,-91.21
3,-170.56
4,-37.39
5,-62.54
6,-172.20
7,-181.87
8,-160.97
9,-175.91
10,-199.43